(1)
VASP calculation (PBE-GGA) on a relaxed structure of Y2InNiC.

```
5
Lattice="-4.570 0.811 2.111 -2.031 -3.564 -3.028 0.733 -2.621 2.594" Properties=species:S:1:pos:R:3 pbc="T T T"
C 0.000 0.000 0.000
In -2.934 -2.687 0.838
Ni 0.366 -1.310 1.297
Y -2.285 0.406 1.055
Y -1.016 -1.782 -1.514
```

## Properties
- total magnetic moment (μB per cell) = 0.000
- calculated total energy (eV/atom) = -6.4653
- calculated density (g/cm³) = 6.17

***

(2)
VASP calculation (PBE-GGA) on a relaxed structure of Np2InC.

```
4
Lattice="-0.047 -3.743 -1.428 1.859 -0.854 -3.445 5.373 -2.682 1.235" Properties=species:S:1:pos:R:3 pbc="T T T"
Np 6.179 -5.649 -2.255
In 3.593 -3.639 -1.819
Np 1.007 -1.629 -1.383
C 0.000 0.000 0.000
```

## Properties
- total magnetic moment (μB per cell) = 0.001
- calculated total energy (eV/atom) = -9.1637
- calculated density (g/cm³) = 12.64

***

(3)
VASP calculation (PBE-GGA) on a relaxed structure of InC3O.

```
5
Lattice="-1.343 -0.061 3.531 -1.533 -3.393 -0.642 3.181 -1.661 1.181" Properties=species:S:1:pos:R:3 pbc="T T T"
In 0.153 -2.558 2.035
O 0.000 0.000 0.000
C -0.671 -0.031 1.766
C -0.767 -1.696 -0.321
C 1.591 -0.830 0.590
```

## Properties
- raw formation energy (eV/atom) = 2.83
- total magnetic moment (μB per cell) = 0.000
- calculated total energy (eV/atom) = -4.2421
- calculated density (g/cm³) = 5.14
- relative energy among the computed polymorphs (eV/atom) = 0.0000

***

(4)
VASP calculation (PBE-GGA) on a relaxed structure of InCO2.

```
4
Lattice="1.824 0.000 8.608 -0.912 1.580 8.608 -0.912 -1.580 8.608" Properties=species:S:1:pos:R:3 pbc="T T T"
C 0.000 0.000 0.000
In 0.000 0.000 12.913
O 0.000 0.000 1.179
O 0.000 0.000 24.646
```

## Properties
- raw formation energy (eV/atom) = -0.75
- total magnetic moment (μB per cell) = 0.000
- calculated total energy (eV/atom) = -6.2162
- calculated density (g/cm³) = 3.54

***

(5)
VASP calculation (PBE-GGA) on a relaxed structure of InCO3.

```
5
Lattice="-2.517 2.244 -2.359 -3.254 -1.845 1.716 -0.122 2.915 2.903" Properties=species:S:1:pos:R:3 pbc="T T T"
O -1.258 1.122 -1.180
In 0.000 0.000 0.000
O -0.061 1.457 1.452
C -2.946 1.657 1.130
O -1.627 -0.923 0.858
```

## Properties
- raw formation energy (eV/atom) = 1.29
- total magnetic moment (μB per cell) = 1.000
- calculated total energy (eV/atom) = -4.0765
- calculated density (g/cm³) = 4.16

***

(6)
VASP calculation (PBE-GGA) on a relaxed structure of InCO2.

```
4
Lattice="1.604 0.000 6.486 -0.802 1.389 6.486 -0.802 -1.389 6.486" Properties=species:S:1:pos:R:3 pbc="T T T"
O 0.000 0.000 17.137
C 0.000 0.000 9.729
O 0.000 0.000 2.321
In 0.000 0.000 0.000
```

## Properties
- raw formation energy (eV/atom) = 0.87
- total magnetic moment (μB per cell) = 0.000
- calculated total energy (eV/atom) = -4.5985
- calculated density (g/cm³) = 6.09

***

(7)
VASP calculation (PBE-GGA) on a relaxed structure of InCO3.

```
10
Lattice="-3.542 -1.436 -1.693 3.394 -1.877 -1.559 -0.496 -5.939 6.072" Properties=species:S:1:pos:R:3 pbc="T T T"
O -1.759 -6.854 3.692
O 1.113 -2.451 -0.924
O 0.980 -4.043 0.704
O 0.298 -4.497 -1.394
O -1.626 -5.262 2.064
O -1.060 -7.396 1.621
In -0.011 -0.245 -0.241
In -0.259 -3.214 2.796
C 0.795 -3.638 -0.513
C -1.478 -6.478 2.484
```

## Properties
- raw formation energy (eV/atom) = -1.17
- total magnetic moment (μB per cell) = 0.000
- calculated total energy (eV/atom) = -6.5368
- calculated density (g/cm³) = 4.23

***

(8)
VASP calculation (PBE-GGA) on a relaxed structure of InC3O.

```
5
Lattice="-3.892 -1.985 -0.369 -0.288 -0.249 4.368 -1.998 3.902 0.090" Properties=species:S:1:pos:R:3 pbc="T T T"
C -0.144 -0.124 2.184
C -0.999 1.951 0.045
O -3.089 0.834 2.045
In 0.000 0.000 0.000
C -1.946 -0.992 -0.185
```

## Properties
- raw formation energy (eV/atom) = 3.77
- total magnetic moment (μB per cell) = 1.465
- calculated total energy (eV/atom) = -3.3036
- calculated density (g/cm³) = 3.29
- relative energy among the computed polymorphs (eV/atom) = 0.9385

***

(9)
VASP calculation (PBE-GGA) on a relaxed structure of InCO4.

```
12
Lattice="5.606 0.000 0.565 0.000 3.624 0.000 -2.326 -1.812 9.170" Properties=species:S:1:pos:R:3 pbc="T T T"
In 1.402 0.906 0.141
O 2.394 2.722 3.966
O -0.409 0.904 3.683
O 0.886 -0.909 5.770
In 4.204 2.718 0.424
C -1.163 0.906 4.585
O 0.522 2.718 1.010
O -0.045 0.907 8.444
C 1.640 -0.906 4.868
O 3.325 0.906 1.292
O 3.689 0.908 6.052
O 2.757 -0.905 8.726
```

## Properties
- raw formation energy (eV/atom) = -1.03
- total magnetic moment (μB per cell) = 2.000
- calculated total energy (eV/atom) = -6.3283
- calculated density (g/cm³) = 3.32

***

(10)
VASP calculation (PBE-GGA) on a relaxed structure of In3CO.

```
5
Lattice="-2.907 -3.648 0.031 3.544 -2.834 -1.080 0.863 -0.650 4.538" Properties=species:S:1:pos:R:3 pbc="T T T"
In 0.432 -0.325 2.269
In 1.772 -1.417 -0.540
In -1.454 -1.824 0.015
C 0.000 0.000 0.000
O 0.750 -3.566 1.744
```

## Properties
- raw formation energy (eV/atom) = 0.82
- total magnetic moment (μB per cell) = 0.000
- calculated total energy (eV/atom) = -3.6602
- calculated density (g/cm³) = 6.09
- relative energy among the computed polymorphs (eV/atom) = 0.0000

***

(11)
VASP calculation (PBE-GGA) on a relaxed structure of InCO2.

```
4
Lattice="-2.714 -2.011 -1.915 -2.898 1.866 -1.789 -0.130 0.121 -3.879" Properties=species:S:1:pos:R:3 pbc="T T T"
In -2.871 -0.012 -3.792
C 0.000 0.000 0.000
O -1.436 -0.006 -1.896
O -4.307 -0.019 -5.688
```

## Properties
- raw formation energy (eV/atom) = 0.92
- total magnetic moment (μB per cell) = 0.000
- calculated total energy (eV/atom) = -4.5545
- calculated density (g/cm³) = 6.37

***

(12)
VASP calculation (PBE-GGA) on a relaxed structure of InCO2.

```
8
Lattice="4.325 0.000 0.000 0.000 4.325 0.000 2.163 2.163 5.588" Properties=species:S:1:pos:R:3 pbc="T T T"
O 1.239 3.244 1.397
In 0.000 0.000 0.000
O 3.086 1.081 1.397
In 4.325 2.163 2.794
O 5.407 5.249 4.191
O 3.244 3.402 4.191
C 2.163 2.163 0.000
C 2.163 4.325 2.794
```

## Properties
- raw formation energy (eV/atom) = 0.63
- total magnetic moment (μB per cell) = 0.000
- calculated total energy (eV/atom) = -4.8374
- calculated density (g/cm³) = 5.05

***

(13)
VASP calculation (PBE-GGA) on a relaxed structure of In2C2O7.

```
11
Lattice="4.222 0.062 0.081 -0.711 5.252 -0.024 -0.711 -1.385 5.066" Properties=species:S:1:pos:R:3 pbc="T T T"
C 3.579 0.853 1.112
O 0.000 0.000 0.000
O 2.799 0.002 1.913
In 1.400 0.659 3.562
O 0.311 1.392 1.815
O 2.489 2.537 3.307
In 1.400 3.270 1.560
O 0.001 2.081 4.625
O 2.799 1.847 0.498
O 0.001 3.927 3.209
C -0.779 3.075 4.010
```

## Properties
- raw formation energy (eV/atom) = -1.13
- total magnetic moment (μB per cell) = 0.000
- calculated total energy (eV/atom) = -6.4619
- calculated density (g/cm³) = 5.38

***

(14)
VASP calculation (PBE-GGA) on a relaxed structure of InPdC2O.

```
5
Lattice="3.962 0.000 0.000 0.000 4.413 0.000 0.000 0.000 3.962" Properties=species:S:1:pos:R:3 pbc="T T T"
C 1.981 0.000 0.000
C 0.000 0.000 1.981
O 0.000 2.207 0.000
Pd 0.000 0.000 0.000
In 1.981 2.207 1.981
```

## Properties
- raw formation energy (eV/atom) = 1.53
- total magnetic moment (μB per cell) = 0.655
- calculated total energy (eV/atom) = -4.7419
- calculated density (g/cm³) = 6.26
- relative energy among the computed polymorphs (eV/atom) = 0.0000

***

(15)
VASP calculation (PBE-GGA) on a relaxed structure of InPdC2O.

```
5
Lattice="3.934 0.000 0.000 0.000 4.383 0.000 0.000 0.000 3.934" Properties=species:S:1:pos:R:3 pbc="T T T"
In 0.000 2.191 0.000
O 0.000 0.000 0.000
C 0.000 0.000 1.967
Pd 1.967 2.191 1.967
C 1.967 0.000 0.000
```

## Properties
- raw formation energy (eV/atom) = 1.97
- total magnetic moment (μB per cell) = 0.000
- calculated total energy (eV/atom) = -4.2941
- calculated density (g/cm³) = 6.40
- relative energy among the computed polymorphs (eV/atom) = 0.4478

***

(16)
VASP calculation (PBE-GGA) on a relaxed structure of Pr6In2CO.

```
20
Lattice="-1.360 3.798 5.999 -7.089 -1.080 -0.923 0.582 -8.567 5.555" Properties=species:S:1:pos:R:3 pbc="T T T"
In -5.560 -5.336 6.474
Pr -4.880 -7.246 3.481
Pr -0.058 -3.331 4.284
O -5.024 -5.093 2.085
In -1.627 -2.412 1.158
Pr -4.575 2.311 4.044
Pr -8.103 1.774 3.585
C -5.318 -0.810 -0.692
Pr -4.262 -1.978 6.810
C -2.160 -2.654 5.547
In -1.336 -6.695 3.935
Pr -2.305 -0.524 4.165
O -2.453 1.629 2.769
Pr -3.585 -3.868 3.824
Pr -3.892 0.404 1.030
Pr -5.172 -2.940 0.689
Pr -7.419 -0.134 0.571
Pr -2.016 -4.785 6.928
Pr -0.735 -1.441 7.269
In -5.851 -1.053 3.696
```

## Properties
- raw formation energy (eV/atom) = -0.87
- total magnetic moment (μB per cell) = 0.000
- calculated total energy (eV/atom) = -5.7081
- calculated density (g/cm³) = 6.85

***

(17)
VASP calculation (PBE-GGA) on a relaxed structure of Rb2InC2O6.

```
11
Lattice="5.482 0.000 0.000 -2.741 4.835 -0.064 0.000 -2.859 6.642" Properties=species:S:1:pos:R:3 pbc="T T T"
O 1.127 -0.693 1.727
In 2.741 -1.430 3.321
C 0.000 -0.021 1.810
O 1.614 2.669 4.851
O 4.355 -0.693 1.727
C 2.741 1.997 4.768
Rb 0.000 0.384 5.735
O 0.000 1.271 1.894
O -1.614 2.669 4.851
O 2.741 0.705 4.684
Rb 2.741 1.592 0.843
```

## Properties
- raw formation energy (eV/atom) = -1.49
- total magnetic moment (μB per cell) = 0.000
- calculated total energy (eV/atom) = -6.2942
- calculated density (g/cm³) = 3.85

***

(18)
VASP calculation (PBE-GGA) on a relaxed structure of RbIn2CO.

```
5
Lattice="-6.174 -1.905 -0.259 0.792 -3.023 3.352 -1.564 4.471 4.402" Properties=species:S:1:pos:R:3 pbc="T T T"
In -3.087 -0.953 -0.129
In -0.782 2.235 2.201
Rb 0.000 0.000 0.000
O 0.396 -1.512 1.676
C -3.473 -0.229 3.748
```

## Properties
- raw formation energy (eV/atom) = 1.79
- total magnetic moment (μB per cell) = 2.647
- calculated total energy (eV/atom) = -2.3350
- calculated density (g/cm³) = 2.97

***

(19)
VASP calculation (PBE-GGA) on a relaxed structure of ScInCO2.

```
5
Lattice="-3.794 -1.683 0.257 1.641 -3.671 0.184 0.157 0.278 4.146" Properties=species:S:1:pos:R:3 pbc="T T T"
In 0.820 -1.835 0.092
Sc -0.998 -2.538 2.294
C 0.000 0.000 0.000
O 0.079 0.139 2.073
O -1.897 -0.841 0.128
```

## Properties
- raw formation energy (eV/atom) = 0.59
- total magnetic moment (μB per cell) = 0.002
- calculated total energy (eV/atom) = -5.0516
- calculated density (g/cm³) = 4.86

***

(20)
VASP calculation (PBE-GGA) on a relaxed structure of InSn2CO.

```
5
Lattice="-1.033 -4.420 -1.388 4.199 -1.440 1.459 -1.808 -0.925 4.290" Properties=species:S:1:pos:R:3 pbc="T T T"
Sn -0.904 -0.463 2.145
In 2.100 -0.720 0.729
C 0.679 -3.392 2.180
Sn -0.516 -2.210 -0.694
O 0.000 0.000 0.000
```

## Properties
- raw formation energy (eV/atom) = 0.94
- total magnetic moment (μB per cell) = 0.000
- calculated total energy (eV/atom) = -4.0497
- calculated density (g/cm³) = 6.00

***

(21)
VASP calculation (PBE-GGA) on a relaxed structure of Tl2InCO.

```
5
Lattice="-1.918 -4.105 -3.587 2.790 -1.458 0.177 -1.890 -3.066 4.520" Properties=species:S:1:pos:R:3 pbc="T T T"
C 0.000 0.000 0.000
Tl -0.945 -1.533 2.260
O 1.395 -0.729 0.089
Tl -0.959 -2.053 -1.793
In -0.509 -4.315 0.555
```

## Properties
- raw formation energy (eV/atom) = 0.77
- total magnetic moment (μB per cell) = 0.000
- calculated total energy (eV/atom) = -3.5655
- calculated density (g/cm³) = 8.70

***

(22)
VASP calculation (PBE-GGA) on a relaxed structure of Tm6In2CO.

```
10
Lattice="6.738 0.000 0.000 3.369 5.835 0.000 3.369 1.945 5.501" Properties=species:S:1:pos:R:3 pbc="T T T"
Tm 5.041 4.870 1.365
C 0.000 0.000 0.000
Tm 5.041 2.911 4.136
O 6.738 3.890 2.751
Tm 6.738 1.931 1.365
In 10.107 5.835 4.126
In 3.369 1.945 1.375
Tm 8.434 2.911 4.136
Tm 8.434 4.870 1.365
Tm 6.738 5.849 4.136
```

## Properties
- raw formation energy (eV/atom) = -1.02
- total magnetic moment (μB per cell) = 0.000
- calculated total energy (eV/atom) = -5.6722
- calculated density (g/cm³) = 9.76

***

(23)
VASP calculation (PBE-GGA) on a relaxed structure of Y6In2CO.

```
20
Lattice="-4.930 0.615 -4.755 -4.747 -1.591 4.715 -0.959 9.418 2.212" Properties=species:S:1:pos:R:3 pbc="T T T"
Y -8.445 -1.126 1.132
O -3.652 -0.090 -1.198
C -4.131 4.619 -0.093
Y -4.176 5.166 -2.444
In -1.905 6.665 2.837
Y -1.729 4.861 -0.083
In -1.426 1.957 1.732
Y -4.369 6.957 0.456
Y -4.281 5.886 5.199
Y -6.533 4.377 -0.103
Y -3.606 -0.646 1.186
Y -6.088 -0.336 -1.209
Y -3.893 2.280 -0.642
Y -3.798 1.145 4.086
In -6.265 1.468 1.712
Y -5.962 -1.435 3.527
Y -4.085 4.071 2.258
C -3.560 -1.193 3.537
In -6.744 6.178 2.818
O -4.039 3.516 4.642
```

## Properties
- raw formation energy (eV/atom) = -1.03
- total magnetic moment (μB per cell) = 0.000
- calculated total energy (eV/atom) = -6.8719
- calculated density (g/cm³) = 5.71

***

(24)
VASP calculation (PBE-GGA) on a relaxed structure of InOsC3.

```
5
Lattice="-0.212 -0.131 -4.054 -2.798 -2.934 0.241 -2.937 2.805 0.063" Properties=species:S:1:pos:R:3 pbc="T T T"
In -2.973 -0.130 -1.875
C -1.468 1.403 0.031
C -0.106 -0.065 -2.027
C -1.399 -1.467 0.121
Os 0.000 0.000 0.000
```

## Properties
- total magnetic moment (μB per cell) = 0.000
- calculated total energy (eV/atom) = -6.5222
- calculated density (g/cm³) = 8.45
- relative energy among the computed polymorphs (eV/atom) = 0.0000

***

(25)
VASP calculation (PBE-GGA) on a relaxed structure of InOsC3.

```
5
Lattice="-3.029 -0.838 2.721 1.799 -3.643 0.881 2.207 1.820 3.017" Properties=species:S:1:pos:R:3 pbc="T T T"
Os 0.488 -1.330 3.309
In 0.000 0.000 0.000
C 1.103 0.910 1.508
C -1.515 -0.419 1.360
C 0.899 -1.821 0.441
```

## Properties
- total magnetic moment (μB per cell) = 0.000
- calculated total energy (eV/atom) = -4.5296
- calculated density (g/cm³) = 7.88
- relative energy among the computed polymorphs (eV/atom) = 1.9927

***

(26)
VASP calculation (PBE-GGA) on a relaxed structure of InSbOsC2.

```
5
Lattice="-1.858 -1.835 3.205 4.526 1.286 3.360 -1.779 3.588 1.023" Properties=species:S:1:pos:R:3 pbc="T T T"
Os 0.445 1.519 3.794
Sb 2.263 0.643 1.680
C -0.929 -0.917 1.602
In 0.000 0.000 0.000
C -0.889 1.794 0.512
```

## Properties
- raw formation energy (eV/atom) = 3.01
- total magnetic moment (μB per cell) = 0.000
- calculated total energy (eV/atom) = -4.3002
- calculated density (g/cm³) = 7.58